VASP calculation (GGA-PBE) on a relaxed YB2W crystal.

Structure (CIF):
```
data_YB2W
_cell_length_a 5.0508
_cell_length_b 5.0508
_cell_length_c 11.4573
_cell_angle_alpha 90.00
_cell_angle_beta 90.00
_cell_angle_gamma 90.00
_space_group_name_H-M_alt 'I -4 2 d'
_space_group_IT_number 122
_space_group_name_Hall 'I -4 2bw'
loop_
_atom_site_label
_atom_site_fract_x
_atom_site_fract_y
_atom_site_fract_z
_atom_site_occupancy
Y1 0.0000 0.0000 0.0000 1
B1 0.1607 0.2500 0.6250 1
W1 0.0000 0.0000 0.5000 1
```

Properties
The calculation puts the distance to the lowest polymorph of the same formula at 605 meV/atom. Its energy relative to the elements is 2.0 eV per formula unit. The crystal system is tetragonal.

VASP calculation (GGA-PBE) on a relaxed ScAl2Tc crystal.

Structure (CIF):
```
data_ScAl2Tc
_cell_length_a 2.9819
_cell_length_b 2.9819
_cell_length_c 27.0334
_cell_angle_alpha 90.00
_cell_angle_beta 90.00
_cell_angle_gamma 120.00
_space_group_name_H-M_alt 'R -3 m'
_space_group_IT_number 166
_space_group_name_Hall '-R 3 2"'
loop_
_atom_site_label
_atom_site_fract_x
_atom_site_fract_y
_atom_site_fract_z
_atom_site_occupancy
Sc1 0.0000 0.0000 0.0000 1
Al1 0.0000 0.0000 0.2399 1
Tc1 0.0000 0.0000 0.5000 1
```

Properties
The calculation puts the distance to the lowest polymorph of the same formula at 287 meV/atom. Its energy relative to the elements is -0.5 eV per formula unit. The crystal system is trigonal.

VASP calculation (GGA-PBE) on a relaxed Y4HgPSe2 crystal.

Structure (CIF):
```
data_Y4HgPSe2
_cell_length_a 7.1882
_cell_length_b 4.0494
_cell_length_c 7.2317
_cell_angle_alpha 90.00
_cell_angle_beta 108.63
_cell_angle_gamma 90.00
_space_group_name_H-M_alt 'P 1 2/m 1'
_space_group_IT_number 10
loop_
_space_group_symop_operation_xyz
'x,y,z'
'-x,-y,-z'
'-x,y,-z'
'x,-y,z'
loop_
_atom_site_label
_atom_site_fract_x
_atom_site_fract_y
_atom_site_fract_z
_atom_site_occupancy
Y1 0.2380 0.0000 0.2331 1
Y2 0.2518 0.5000 0.7635 1
Hg1 0.0000 0.0000 0.5000 1
P1 0.0000 0.5000 0.0000 1
Se1 0.5000 0.0000 0.0000 1
Se2 0.5000 0.5000 0.5000 1
```

Properties
The crystal system is monoclinic. The energy relative to the elements, uncorrected comes out at -1.3926 eV/atom.

VASP calculation (GGA-PBE) on a relaxed BaH3Rh crystal.

Structure (CIF):
```
data_BaH3Rh
_cell_length_a 5.0946
_cell_length_b 5.3570
_cell_length_c 5.8509
_cell_angle_alpha 90.00
_cell_angle_beta 113.92
_cell_angle_gamma 90.00
_space_group_name_H-M_alt 'P 1 21/m 1'
_space_group_IT_number 11
loop_
_space_group_symop_operation_xyz
'x,y,z'
'-x,-y,-z'
'-x,y+1/2,-z'
'x,-y+1/2,z'
loop_
_atom_site_label
_atom_site_fract_x
_atom_site_fract_y
_atom_site_fract_z
_atom_site_occupancy
Ba1 0.1402 0.2500 0.3050 1
H1 0.3197 0.7500 0.3122 1
H2 0.4816 0.5629 0.8363 1
Rh1 0.4605 0.7500 0.0901 1
```

Properties
The crystal system is monoclinic. The calculation puts the final energy at -42.8 eV for the cell shown.

VASP calculation (GGA-PBE) on a relaxed ScIn2P crystal.

Structure (CIF):
```
data_ScIn2P
_cell_length_a 3.5332
_cell_length_b 3.7350
_cell_length_c 14.7421
_cell_angle_alpha 90.00
_cell_angle_beta 90.00
_cell_angle_gamma 90.00
_space_group_name_H-M_alt 'I m m m'
_space_group_IT_number 71
_space_group_name_Hall '-I 2 2'
loop_
_atom_site_label
_atom_site_fract_x
_atom_site_fract_y
_atom_site_fract_z
_atom_site_occupancy
Sc1 0.0000 0.0000 0.0000 1
In1 0.0000 0.5000 0.3174 1
P1 0.0000 0.0000 0.5000 1
```

Properties
Its energy relative to the elements is -1.7 eV per formula unit. The crystal system is orthorhombic.

VASP calculation (GGA-PBE) on a relaxed ScP3Pt crystal.

Structure (CIF):
```
data_ScP3Pt
_cell_length_a 4.6996
_cell_length_b 4.6996
_cell_length_c 4.6996
_cell_angle_alpha 90.00
_cell_angle_beta 90.00
_cell_angle_gamma 90.00
_space_group_name_H-M_alt 'P m -3 m'
_space_group_IT_number 221
_space_group_name_Hall '-P 4 2 3'
loop_
_atom_site_label
_atom_site_fract_x
_atom_site_fract_y
_atom_site_fract_z
_atom_site_occupancy
Sc1 0.0000 0.0000 0.0000 1
P1 0.0000 0.5000 0.5000 1
Pt1 0.5000 0.5000 0.5000 1
```

Properties
The calculation puts the distance to the lowest polymorph of the same formula at 0 meV/atom. Its energy relative to the elements is 1.6 eV per formula unit. The crystal system is cubic.

VASP calculation (GGA-PBE) on a relaxed AlTlHg crystal.

Structure (CIF):
```
data_AlTlHg
_cell_length_a 4.7105
_cell_length_b 6.1568
_cell_length_c 6.2109
_cell_angle_alpha 82.58
_cell_angle_beta 68.02
_cell_angle_gamma 67.96
_space_group_name_H-M_alt 'P 1'
_space_group_IT_number 1
loop_
_space_group_symop_operation_xyz
'x,y,z'
loop_
_atom_site_label
_atom_site_fract_x
_atom_site_fract_y
_atom_site_fract_z
_atom_site_occupancy
Al1 0.0000 0.0000 0.0000 1
Al2 0.4961 0.8572 0.1497 1
Tl1 0.3313 0.4239 0.9032 1
Tl2 0.8301 0.7559 0.5725 1
Hg1 0.1439 0.1521 0.5486 1
Hg2 0.6452 0.4005 0.2982 1
```

Properties
Its energy relative to the elements is 0.3 eV per formula unit. The crystal system is triclinic.

VASP calculation (GGA-PBE) on a relaxed TbThSc6 crystal.

Structure (CIF):
```
data_TbThSc6
_cell_length_a 4.7137
_cell_length_b 4.7137
_cell_length_c 9.4600
_cell_angle_alpha 90.00
_cell_angle_beta 90.00
_cell_angle_gamma 90.00
_space_group_name_H-M_alt 'P 4/m m m'
_space_group_IT_number 123
_space_group_name_Hall '-P 4 2'
loop_
_atom_site_label
_atom_site_fract_x
_atom_site_fract_y
_atom_site_fract_z
_atom_site_occupancy
Tb1 0.0000 0.0000 0.0000 1
Th1 0.0000 0.0000 0.5000 1
Sc1 0.0000 0.5000 0.2521 1
Sc2 0.5000 0.5000 0.0000 1
Sc3 0.5000 0.5000 0.5000 1
```

Properties
Its energy relative to the elements is 0.3 eV per formula unit. The crystal system is tetragonal.

VASP calculation (GGA-PBE) on a relaxed NaCaCo2C crystal.

Structure (CIF):
```
data_NaCaCo2C
_cell_length_a 3.8542
_cell_length_b 3.8542
_cell_length_c 4.8424
_cell_angle_alpha 90.00
_cell_angle_beta 90.00
_cell_angle_gamma 90.00
_space_group_name_H-M_alt 'P 4/m m m'
_space_group_IT_number 123
_space_group_name_Hall '-P 4 2'
loop_
_atom_site_label
_atom_site_fract_x
_atom_site_fract_y
_atom_site_fract_z
_atom_site_occupancy
Na1 0.0000 0.0000 0.0000 1
Ca1 0.5000 0.5000 0.0000 1
Co1 0.0000 0.5000 0.5000 1
C1 0.5000 0.5000 0.5000 1
```

Properties
Its energy relative to the elements is 1.7 eV per formula unit. The crystal system is tetragonal.

VASP calculation (GGA-PBE) on a relaxed Pu2Hg4Bi crystal.

Structure (CIF):
```
data_Pu2Hg4Bi
_cell_length_a 8.7083
_cell_length_b 8.7083
_cell_length_c 10.7585
_cell_angle_alpha 90.00
_cell_angle_beta 90.00
_cell_angle_gamma 90.00
_space_group_name_H-M_alt 'I 4/m c m'
_space_group_IT_number 140
_space_group_name_Hall '-I 4 2c'
loop_
_atom_site_label
_atom_site_fract_x
_atom_site_fract_y
_atom_site_fract_z
_atom_site_occupancy
Pu1 0.1492 0.3508 0.0000 1
Hg1 0.1481 0.3519 0.3295 1
Bi1 0.0000 0.0000 0.2500 1
```

Properties
Its energy relative to the elements is 0.0 eV per formula unit. The crystal system is tetragonal.

VASP calculation (GGA-PBE) on a relaxed LaHfAs2 crystal.

Structure (CIF):
```
data_LaHfAs2
_cell_length_a 7.0662
_cell_length_b 7.0662
_cell_length_c 7.0662
_cell_angle_alpha 90.00
_cell_angle_beta 90.00
_cell_angle_gamma 90.00
_space_group_name_H-M_alt 'F m -3 m'
_space_group_IT_number 225
_space_group_name_Hall '-F 4 2 3'
loop_
_atom_site_label
_atom_site_fract_x
_atom_site_fract_y
_atom_site_fract_z
_atom_site_occupancy
La1 0.0000 0.0000 0.0000 1
Hf1 0.0000 0.0000 0.5000 1
As1 0.2500 0.2500 0.2500 1
```

Properties
The calculation puts the distance to the lowest polymorph of the same formula at 493 meV/atom. Its energy relative to the elements is -3.1 eV per formula unit. The crystal system is cubic.

VASP calculation (GGA-PBE) on a relaxed LaFeSe2 crystal.

Structure (CIF):
```
data_LaFeSe2
_cell_length_a 4.5772
_cell_length_b 4.5772
_cell_length_c 22.6377
_cell_angle_alpha 90.00
_cell_angle_beta 90.00
_cell_angle_gamma 120.00
_space_group_name_H-M_alt 'R -3 m'
_space_group_IT_number 166
_space_group_name_Hall '-R 3 2"'
loop_
_atom_site_label
_atom_site_fract_x
_atom_site_fract_y
_atom_site_fract_z
_atom_site_occupancy
La1 0.0000 0.0000 0.0000 1
Fe1 0.0000 0.0000 0.5000 1
Se1 0.0000 0.0000 0.3976 1
```

Properties
The calculation puts the distance to the lowest polymorph of the same formula at 243 meV/atom. The crystal system is trigonal. The energy relative to the elements, uncorrected comes out at -0.7700 eV/atom.